Record 1
Computed, not measured: a relaxed KSr2Al crystal at the PBE level of DFT.

Results
For the total magnetization, the calculation gives 0.00 μB per cell. As for the calculated formation energy: 248 meV per atom. For the calculated volume, the calculation gives 39.9 A^3/atom. For the density of states at the Fermi level, the calculation gives 4.5 states/eV per cell. As for the total energy: -1.80 eV/atom.

```
4
Lattice="-2.532 -4.712 2.905 -1.990 -4.809 -3.157 2.960 -5.307 0.350" Properties=species:S:1:pos:R:3 pbc="T T T"
Sr 0.000 0.000 0.000
Sr -0.390 -3.707 0.024
K -1.171 -11.121 0.073
Al -0.781 -7.414 0.049
```

Record 2
Computed, not measured: a relaxed KSrAl crystal at the PBE level of DFT.

Results
For the total magnetization, the calculation gives 0.00 μB per cell. For the offset from the most stable computed form, the calculation gives 0.0 meV per atom. As for the calculated formation energy: -69 meV per atom. For the calculated volume, the calculation gives 46.0 A^3/atom. For the density of states at the Fermi level, the calculation gives 3.9 states/eV per cell. As for the total energy: -2.24 eV/atom.

```
6
Lattice="4.537 0.000 0.000 0.000 4.850 0.000 0.000 2.425 12.532" Properties=species:S:1:pos:R:3 pbc="T T T"
Al 3.403 2.425 0.699
Al 1.134 4.850 11.833
K 3.403 2.425 4.623
K 1.134 4.850 7.909
Sr 3.403 2.425 10.860
Sr 1.134 4.850 1.672
```

Record 3
Computed, not measured: a relaxed K2SrAl crystal at the PBE level of DFT.

Results
For the total magnetization, the calculation gives 0.00 μB per cell. As for the calculated formation energy: 256 meV per atom. For the calculated volume, the calculation gives 43.2 A^3/atom. For the density of states at the Fermi level, the calculation gives 2.8 states/eV per cell. As for the total energy: -1.65 eV/atom.

```
4
Lattice="-4.107 -2.600 5.613 -2.964 -6.804 -0.257 6.541 3.333 -1.113" Properties=species:S:1:pos:R:3 pbc="T T T"
Sr 0.021 -4.086 0.654
K 0.000 0.000 0.000
K -3.535 -4.702 2.678
Al -0.550 -1.984 3.589
```

Record 4
Computed, not measured: a relaxed KSrAl crystal at the PBE level of DFT.

Results
For the total magnetization, the calculation gives 0.00 μB per cell. For the offset from the most stable computed form, the calculation gives 210.1 meV per atom. As for the calculated formation energy: 141 meV per atom. For the calculated volume, the calculation gives 42.9 A^3/atom. For the density of states at the Fermi level, the calculation gives 1.6 states/eV per cell. As for the total energy: -2.03 eV/atom.

```
3
Lattice="-3.482 -6.578 3.249 0.562 -7.146 3.818 -0.434 0.912 3.997" Properties=species:S:1:pos:R:3 pbc="T T T"
Sr -1.375 -4.626 5.158
K -2.022 -8.440 5.958
Al -2.877 -13.469 7.013
```